# 1
Density functional theory data (GGA-PBE) for an optimized crystal structure of TiHOsRu2.

a = 3.886 Å, b = 3.886 Å, c = 3.936 Å
α = 90.00°, β = 90.00°, γ = 90.00°
Fractional positions:
Ti: 0.000 0.000 0.000
H: 0.000 0.000 0.500
Os: 0.500 0.500 0.000
Ru: 0.000 0.500 0.500
Ru: 0.500 0.000 0.500

Summary:
theoretical density	12.3	g/cm³
energy	-41.9	eV/cell
total moment	0.0	μB/f.u.
ΔE to the lowest computed polymorph	0	meV/atom


# 2
Density functional theory data (GGA-PBE) for an optimized crystal structure of TmGa5Co2Ni.

a = 4.572 Å, b = 4.572 Å, c = 6.964 Å
α = 90.00°, β = 90.00°, γ = 90.00°
Fractional positions:
Tm: 0.000 0.000 0.000
Ga: 0.000 0.500 0.306
Ga: 0.000 0.500 0.694
Ga: 0.500 0.000 0.306
Ga: 0.500 0.000 0.694
Ga: 0.500 0.500 0.000
Co: 0.500 0.500 0.325
Co: 0.500 0.500 0.675
Ni: 0.000 0.000 0.500

Summary:
theoretical density	7.9	g/cm³
energy	-40.8	eV/cell
total moment	0.0	μB/f.u.


# 3
Density functional theory data (GGA-PBE) for an optimized crystal structure of Dy2Zn12Ni5.

a = 6.604 Å, b = 6.604 Å, c = 6.604 Å
α = 83.62°, β = 83.62°, γ = 83.62°
Fractional positions:
Dy: 0.170 0.170 0.170
Dy: 0.830 0.830 0.830
Zn: 0.155 0.155 0.642
Zn: 0.155 0.642 0.155
Zn: 0.213 0.500 0.787
Zn: 0.213 0.787 0.500
Zn: 0.358 0.845 0.845
Zn: 0.500 0.213 0.787
Zn: 0.500 0.787 0.213
Zn: 0.642 0.155 0.155
Zn: 0.787 0.213 0.500
Zn: 0.787 0.500 0.213
Zn: 0.845 0.358 0.845
Zn: 0.845 0.845 0.358
Ni: 0.000 0.500 0.500
Ni: 0.398 0.398 0.398
Ni: 0.500 0.000 0.500
Ni: 0.500 0.500 0.000
Ni: 0.602 0.602 0.602

Summary:
theoretical density	8.2	g/cm³
energy	-58.9	eV/cell
total moment	0.0	μB/f.u.


# 4
Density functional theory data (GGA-PBE) for an optimized crystal structure of Ca3Pm3SmS8.

a = 8.084 Å, b = 8.084 Å, c = 8.084 Å
α = 59.78°, β = 59.78°, γ = 59.78°
Fractional positions:
Ca: 0.000 0.500 0.500
Ca: 0.500 0.000 0.500
Ca: 0.500 0.500 0.000
Pm: 0.000 0.000 0.500
Pm: 0.000 0.500 0.000
Pm: 0.500 0.000 0.000
Sm: 0.500 0.500 0.500
S: 0.251 0.251 0.251
S: 0.253 0.746 0.746
S: 0.254 0.254 0.747
S: 0.254 0.747 0.254
S: 0.746 0.253 0.746
S: 0.746 0.746 0.253
S: 0.747 0.254 0.254
S: 0.749 0.749 0.749

Summary:
uncorrected formation energy	-2.071	eV per atom
theoretical density	4.3	g/cm³
energy	-89.1	eV/cell
total moment	0.0	μB/f.u.


# 5
Density functional theory data (GGA-PBE) for an optimized crystal structure of LiAlN.

a = 9.784 Å, b = 9.784 Å, c = 9.784 Å
α = 18.96°, β = 18.96°, γ = 18.96°
Fractional positions:
Li: 0.130 0.130 0.130
Li: 0.870 0.870 0.870
Al: 0.369 0.369 0.369
Al: 0.631 0.631 0.631
N: 0.295 0.295 0.295
N: 0.705 0.705 0.705

Summary:
uncorrected formation energy	-0.670	eV per atom
theoretical density	1.8	g/cm³
energy	-32.0	eV/cell
total moment	0.0	μB/f.u.
ΔE to the lowest computed polymorph	8	meV/atom


# 6
Density functional theory data (GGA-PBE) for an optimized crystal structure of SrRhCl.

a = 6.190 Å, b = 6.190 Å, c = 6.190 Å
α = 147.65°, β = 147.65°, γ = 46.40°
Fractional positions:
Sr: 0.000 0.000 0.000
Rh: 0.673 0.673 0.000
Cl: 0.339 0.339 0.000

Summary:
uncorrected formation energy	-0.374	eV per atom
theoretical density	5.5	g/cm³
energy	-12.0	eV/cell
total moment	0.3	μB/f.u.
ΔE to the lowest computed polymorph	822	meV/atom


# 7
Density functional theory data (GGA-PBE) for an optimized crystal structure of Ta6MoW.

a = 5.798 Å, b = 5.798 Å, c = 5.798 Å
α = 110.38°, β = 110.38°, γ = 110.38°
Fractional positions:
Ta: 0.250 0.250 0.750
Ta: 0.250 0.750 0.250
Ta: 0.250 0.750 0.750
Ta: 0.750 0.250 0.250
Ta: 0.750 0.250 0.750
Ta: 0.750 0.750 0.250
Mo: 0.500 0.500 0.500
W: 0.000 0.000 0.000

Summary:
theoretical density	15.7	g/cm³
energy	-93.4	eV/cell
total moment	0.0	μB/f.u.
ΔE to the lowest computed polymorph	260	meV/atom


# 8
Density functional theory data (GGA-PBE) for an optimized crystal structure of AlAg14Sn.

a = 9.499 Å, b = 5.942 Å, c = 5.942 Å
α = 60.37°, β = 90.00°, γ = 90.00°
Fractional positions:
Al: 0.000 0.000 0.000
Ag: 0.000 0.003 0.499
Ag: 0.000 0.499 0.003
Ag: 0.247 0.836 0.836
Ag: 0.250 0.329 0.839
Ag: 0.250 0.839 0.329
Ag: 0.255 0.333 0.333
Ag: 0.500 0.165 0.669
Ag: 0.500 0.166 0.166
Ag: 0.500 0.666 0.666
Ag: 0.500 0.669 0.165
Ag: 0.745 0.333 0.333
Ag: 0.750 0.329 0.839
Ag: 0.750 0.839 0.329
Ag: 0.753 0.836 0.836
Sn: 0.000 0.501 0.501

Summary:
theoretical density	9.4	g/cm³
energy	-47.3	eV/cell
total moment	0.0	μB/f.u.


# 9
Density functional theory data (GGA-PBE) for an optimized crystal structure of TaCdAgN2.

a = 4.113 Å, b = 4.113 Å, c = 5.206 Å
α = 90.00°, β = 90.00°, γ = 90.00°
Fractional positions:
Ta: 0.000 0.000 0.000
Cd: 0.500 0.500 0.000
Ag: 0.000 0.000 0.500
N: 0.000 0.500 0.500
N: 0.500 0.000 0.500

Summary:
uncorrected formation energy	2.325	eV per atom
theoretical density	8.1	g/cm³
energy	-20.6	eV/cell
total moment	0.0	μB/f.u.


# 10
Density functional theory data (GGA-PBE) for an optimized crystal structure of PrEr3TmSc.

a = 7.809 Å, b = 7.809 Å, c = 9.935 Å
α = 90.00°, β = 90.00°, γ = 143.10°
Fractional positions:
Pr: 0.003 0.997 0.750
Pr: 0.997 0.003 0.250
Er: 0.168 0.832 0.000
Er: 0.168 0.832 0.500
Er: 0.330 0.670 0.750
Er: 0.670 0.330 0.250
Er: 0.832 0.168 0.000
Er: 0.832 0.168 0.500
Tm: 0.500 0.500 0.000
Tm: 0.500 0.500 0.500
Sc: 0.331 0.669 0.250
Sc: 0.669 0.331 0.750

Summary:
theoretical density	7.8	g/cm³
energy	-58.0	eV/cell
total moment	0.0	μB/f.u.


# 11
Density functional theory data (GGA-PBE) for an optimized crystal structure of TlTcN2.

a = 4.053 Å, b = 4.053 Å, c = 4.053 Å
α = 60.00°, β = 60.00°, γ = 60.00°
Fractional positions:
Tl: 0.000 0.000 0.000
Tc: 0.500 0.500 0.500
N: 0.250 0.250 0.250
N: 0.750 0.750 0.750

Summary:
uncorrected formation energy	1.621	eV per atom
theoretical density	11.7	g/cm³
energy	-22.9	eV/cell
total moment	0.0	μB/f.u.
ΔE to the lowest computed polymorph	1411	meV/atom


# 12
Density functional theory data (GGA-PBE) for an optimized crystal structure of Y3MnAs.

a = 5.077 Å, b = 5.077 Å, c = 5.077 Å
α = 90.00°, β = 90.00°, γ = 90.00°
Fractional positions:
Y: 0.000 0.000 0.500
Y: 0.000 0.500 0.000
Y: 0.500 0.000 0.000
Mn: 0.000 0.000 0.000
As: 0.500 0.500 0.500

Summary:
theoretical density	5.0	g/cm³
energy	-33.0	eV/cell
total moment	0.6	μB/f.u.
ΔE to the lowest computed polymorph	0	meV/atom